First-principles (PBE) data for a relaxed CaHo3Fe crystal, as listed in Alexandria.

ΔE to the lowest computed polymorph ... 0 meV per atom
Formation enthalpy at 0 K ... 0.04 eV per atom
Fermi-level density of states ... 2.76 states/eV per cell
Mass density ... 6.6 g/cm3

Cell lengths 5.284, 5.284, 5.284 Å; angles 90.00, 90.00, 90.00 degrees
Atoms (fractional coordinates):
Ca (0.000, 0.000, 0.000)
Ho (0.000, 0.500, 0.500)
Ho (0.500, 0.000, 0.500)
Ho (0.500, 0.500, 0.000)
Fe (0.500, 0.500, 0.500)